Li2CaMnF8 | Alexandria | PBE+U | optimized geometry; D(E_F) = 6.54 states/eV per cell; V = 12.7 Å³ per atom; total energy = -0.1849 Ha/atom; space group = I-4m2 (119)
1.0
-3.3442 3.3442 3.3971
3.3442 -3.3442 3.3971
3.3442 3.3442 -3.3971
Li Ca Mn F
2 1 1 8
direct
0.0000 0.0000 0.0000
0.7500 0.2500 0.5000
0.2500 0.7500 0.5000
0.5000 0.5000 0.0000
0.1642 0.4461 0.7181
0.2085 0.0345 0.8259
0.2085 0.3826 0.1741
0.5539 0.2719 0.7181
0.5539 0.8358 0.2819
0.6174 0.7915 0.8259
0.7281 0.4461 0.2819
0.9655 0.7915 0.1741